This record from the Alexandria database describes a relaxed structure of FePt12Rh3. The functional is PBE.

Computed properties:
The value obtained for the uncorrected energy is -6.5089 eV per atom. Its magnetization is 5.1 μB/f.u. As for the density: 18.44 g cm⁻³.

abc: 3.9290 3.9290 15.7823
angles: 90.00 90.00 90.00
Fractional coordinates of all 16 atoms:
Fe 0.0000 0.0000 0.0000
Pt 0.0000 0.5000 0.1214
Pt 0.0000 0.5000 0.3745
Pt 0.0000 0.5000 0.6255
Pt 0.0000 0.5000 0.8786
Pt 0.5000 0.0000 0.1214
Pt 0.5000 0.0000 0.3745
Pt 0.5000 0.0000 0.6255
Pt 0.5000 0.0000 0.8786
Pt 0.5000 0.5000 0.0000
Pt 0.5000 0.5000 0.2472
Pt 0.5000 0.5000 0.5000
Pt 0.5000 0.5000 0.7528
Rh 0.0000 0.0000 0.2509
Rh 0.0000 0.0000 0.5000
Rh 0.0000 0.0000 0.7491